Record 1
Tl2GeAu3: optimized geometry, PBE.

The structure in POSCAR format:
```
Tl2GeAu3
1.0
6.529 -3.708 0.000
6.529 3.708 0.000
0.000 0.000 5.870
Tl Ge Au
4 2 6
Cartesian
2.402 1.159 0.000
2.402 -1.159 2.935
10.656 1.159 0.000
10.656 -1.159 2.935
6.529 1.486 5.854
6.529 -1.486 2.919
6.529 3.699 1.461
4.871 0.008 1.459
4.871 -0.008 4.395
8.187 0.008 1.459
8.187 -0.008 4.395
6.529 -3.699 4.397
```

Polymorph energy (0 for the lowest one) ... 0.00 eV/f.u.
ΔE_f ... -0.02 eV/atom
DOS at the Fermi energy ... 2.07 states/eV/cell
Crystal system ... orthorhombic
M_tot ... 0.000 μB per atom
Uncorrected energy ... -38.66 eV per cell


Record 2
BaBeCo3: optimized geometry, PBE.

The structure in POSCAR format:
```
BaBeCo3
1.0
4.810 0.000 0.000
0.000 4.810 0.000
0.000 0.000 4.810
Ba Be Co
1 1 3
Cartesian
0.000 0.000 0.000
2.405 2.405 2.405
0.000 0.000 2.405
0.000 2.405 0.000
2.405 0.000 0.000
```

Polymorph energy (0 for the lowest one) ... 9.48 eV/f.u.
ΔE_f ... 2.54 eV/atom
DOS at the Fermi energy ... 5.15 states/eV/cell
Crystal system ... cubic
M_tot ... 0.652 μB per atom
Uncorrected energy ... -14.26 eV per cell


Record 3
AcCeS3: optimized geometry, PBE.

The structure in POSCAR format:
```
AcCeS3
1.0
7.659 0.000 0.000
0.000 4.212 0.000
0.000 0.000 15.975
Ac Ce S
4 4 12
Cartesian
1.082 1.053 3.210
2.747 3.159 11.198
4.912 1.053 4.777
6.576 3.159 12.764
1.793 3.159 7.295
2.036 1.053 15.282
5.622 3.159 0.693
5.865 1.053 8.680
0.106 1.053 6.330
0.991 3.159 0.963
1.148 1.053 12.541
2.681 3.159 4.554
2.839 1.053 8.950
3.723 3.159 14.317
3.935 1.053 1.657
4.820 3.159 7.024
4.978 1.053 11.421
6.510 3.159 3.434
6.668 1.053 15.012
7.553 3.159 9.645
```

Polymorph energy (0 for the lowest one) ... 0.00 eV/f.u.
DOS at the Fermi energy ... 26.18 states/eV/cell
Crystal system ... orthorhombic
M_tot ... 0.187 μB per atom
Uncorrected energy ... -131.55 eV per cell


Record 4
Al3ZnRh: optimized geometry, PBE.

The structure in POSCAR format:
```
Al3ZnRh
1.0
4.730 0.000 0.000
0.000 4.730 0.000
0.000 0.000 4.730
Al Zn Rh
3 1 1
Cartesian
0.000 0.000 2.365
0.000 2.365 0.000
2.365 0.000 0.000
2.365 2.365 2.365
0.000 0.000 0.000
```

Polymorph energy (0 for the lowest one) ... 1.75 eV/f.u.
ΔE_f ... -0.10 eV/atom
DOS at the Fermi energy ... 1.21 states/eV/cell
Crystal system ... cubic
M_tot ... 0.000 μB per atom
Uncorrected energy ... -20.37 eV per cell


Record 5
CrFe2Cu: optimized geometry, PBE.

The structure in POSCAR format:
```
CrFe2Cu
1.0
2.429 0.000 0.000
0.000 4.013 0.000
-1.026 0.000 4.751
Cr Fe Cu
1 2 1
Cartesian
0.000 0.000 0.000
-0.240 2.006 3.618
0.589 0.000 2.410
1.459 2.006 1.245
```

ΔE_f ... 0.19 eV/atom
DOS at the Fermi energy ... 3.71 states/eV/cell
Crystal system ... monoclinic
M_tot ... 0.841 μB per atom
Uncorrected energy ... -29.88 eV per cell


Record 6
CeHo3Er: optimized geometry, PBE.

The structure in POSCAR format:
```
CeHo3Er
1.0
9.283 0.000 0.000
0.000 7.259 0.000
0.000 0.000 9.308
Ce Ho Er
4 12 4
Cartesian
1.622 1.815 1.600
3.019 5.444 6.254
6.264 1.815 3.054
7.660 5.444 7.708
1.172 3.660 8.136
1.172 7.228 8.136
1.594 5.444 1.621
3.047 1.815 6.276
3.469 0.031 3.482
3.469 3.599 3.482
5.814 3.660 5.827
5.814 7.228 5.827
6.235 5.444 3.033
7.689 1.815 7.687
8.110 0.031 1.173
8.110 3.599 1.173
0.000 0.000 4.654
0.000 3.629 4.654
4.641 0.000 0.000
4.641 3.629 0.000
```

Polymorph energy (0 for the lowest one) ... 0.00 eV/f.u.
ΔE_f ... 0.16 eV/atom
DOS at the Fermi energy ... 37.98 states/eV/cell
Crystal system ... orthorhombic
M_tot ... 0.226 μB per atom
Uncorrected energy ... -93.63 eV per cell


Record 7
TlH2NCl2: optimized geometry, PBE.

The structure in POSCAR format:
```
TlH2NCl2
1.0
-4.314 4.314 6.360
4.314 -4.314 6.360
4.314 4.314 -6.360
Tl H N Cl
4 8 4 8
Cartesian
0.000 0.000 0.000
2.157 2.157 -3.180
2.157 -2.157 3.180
0.000 4.314 0.000
4.314 0.074 1.042
2.231 2.157 2.138
6.397 2.157 2.138
0.000 0.074 5.318
4.314 4.240 1.042
-2.083 2.157 4.222
2.083 2.157 4.222
0.000 4.240 5.318
4.314 0.000 0.000
-2.157 2.157 3.180
0.000 0.000 6.360
2.157 2.157 3.180
2.323 2.157 0.049
6.305 2.157 0.049
4.314 0.166 3.131
0.000 0.166 3.229
4.314 4.148 3.131
0.000 4.148 3.229
-1.991 2.157 6.311
1.991 2.157 6.311
```

Crystal system ... tetragonal
M_tot ... 0.331 μB per atom
Uncorrected energy ... -84.14 eV per cell


Record 8
Na3PrEr2Se6: optimized geometry, PBE.

The structure in POSCAR format:
```
Na3PrEr2Se6
1.0
3.621 -6.274 0.000
3.621 6.274 0.000
-2.420 0.000 7.012
Na Pr Er Se
3 1 2 6
Cartesian
0.000 0.000 0.000
3.621 2.069 0.000
3.621 -2.069 0.000
2.412 0.000 3.506
2.412 4.178 3.506
2.412 -4.178 3.506
1.162 2.165 1.890
-0.089 0.000 5.127
1.162 -2.165 1.890
3.662 2.165 5.122
4.912 0.000 1.885
3.662 -2.165 5.122
```

DOS at the Fermi energy ... 0.00 states/eV/cell
Crystal system ... monoclinic
M_tot ... 0.000 μB per atom
Uncorrected energy ... -59.05 eV per cell


Record 9
La2YMgO: optimized geometry, PBE.

The structure in POSCAR format:
```
La2YMgO
1.0
5.186 0.000 0.000
0.000 5.186 0.000
0.000 0.000 4.746
La Y Mg O
2 1 1 1
Cartesian
0.000 2.593 0.000
2.593 0.000 0.000
0.000 0.000 2.373
2.593 2.593 2.373
0.000 0.000 0.000
```

DOS at the Fermi energy ... 3.61 states/eV/cell
Crystal system ... tetragonal
M_tot ... 0.000 μB per atom
Uncorrected energy ... -28.88 eV per cell


Record 10
LiPm2As4Rh3: optimized geometry, PBE.

The structure in POSCAR format:
```
LiPm2As4Rh3
1.0
4.298 0.000 0.000
0.000 4.298 0.000
0.000 0.000 10.071
Li Pm As Rh
1 2 4 3
Cartesian
0.000 0.000 0.000
0.000 2.149 7.530
2.149 0.000 2.541
0.000 0.000 5.035
0.000 2.149 1.377
2.149 0.000 8.694
2.149 2.149 5.035
0.000 2.149 3.830
2.149 0.000 6.240
2.149 2.149 0.000
```

ΔE_f ... -0.91 eV/atom
DOS at the Fermi energy ... 4.39 states/eV/cell
Crystal system ... tetragonal
M_tot ... 0.000 μB per atom
Uncorrected energy ... -61.19 eV per cell